Entry 1:
Here is RhINO2 after structural relaxation from Alexandria. Energies are from PBEsol.

Cell: 3.8721 3.9432 3.9432 Å, 90.00 90.00 90.00°
Last column: nearest neighbours and their distance in Å.
Positions (direct):
I1 0.5000 0.5000 0.5000  8 O 2.76, 4 N 2.79
Rh1 0.0000 0.0000 0.0000  2 N 1.94, 4 O 1.97
O1 0.0000 0.0000 0.5000  2 Rh 1.97
O2 0.0000 0.5000 0.0000  2 Rh 1.97
N1 0.5000 0.0000 0.0000  2 Rh 1.94

- Space group: P4/mmm
- E_form (uncorrected): 386.0 meV per atom
- Volume: 12.0 A^3/atom

***

Entry 2:
Here is CdAs5 after structural relaxation from Alexandria. Energies are from PBEsol.

Cell: 3.7503 5.3949 6.3171 Å, 90.00 107.27 90.00°
Last column: nearest neighbours and their distance in Å.
Positions (direct):
As1 0.0556 0.0000 0.1112  2 Cd 2.70, 4 As 2.78
As2 0.3858 0.0000 0.7716  6 As 2.69-2.78
As3 0.7254 0.0000 0.4508  6 As 2.69-2.78
As4 0.3774 0.5000 0.7547  4 As 2.55-2.70, 2 Cd 2.85
As5 0.7337 0.5000 0.4674  4 As 2.55-2.70, 2 Cd 2.85
Cd1 0.0555 0.5000 0.1110  6 As 2.70-2.85

- Space group: Cmmm
- Total DFT energy (no corrections): -4.38 eV per atom
- Volume: 20.3 A^3/atom

***

Entry 3:
Here is ZrSi3Bi after structural relaxation from Alexandria. Energies are from PBEsol.

Cell: 5.0372 5.0372 5.0372 Å, 90.00 90.00 90.00°
Last column: nearest neighbours and their distance in Å.
Positions (direct):
Si1 0.0000 0.5000 0.0000  2 Zr 2.52
Si2 0.0000 0.0000 0.5000  2 Zr 2.52
Si3 0.5000 0.0000 0.0000  2 Zr 2.52
Bi1 0.5000 0.5000 0.5000  12 Si 3.56
Zr1 0.0000 0.0000 0.0000  6 Si 2.52

- Space group: Pm-3m
- E_form (uncorrected): 782.5 meV per atom
- Volume: 25.6 A^3/atom

***

Entry 4:
Here is KMoPb2 after structural relaxation from Alexandria. Energies are from PBEsol.

Cell: 3.3423 5.4127 5.4127 Å, 90.00 90.00 90.00°
Last column: nearest neighbours and their distance in Å.
Positions (direct):
K1 0.5000 0.5000 0.5000  8 Pb 3.18, 2 K 3.34
Mo1 0.5000 0.0000 0.0000  8 Pb 3.18, 2 Mo 3.34
Pb1 0.0000 0.0000 0.5000  4 Mo 3.18, 4 K 3.18, 2 Pb 3.34
Pb2 0.0000 0.5000 0.0000  4 Mo 3.18, 4 K 3.18, 2 Pb 3.34

- Space group: P4/mmm
- Total DFT energy (no corrections): -4.34 eV per atom
- Volume: 24.5 A^3/atom

***

Entry 5:
Here is SrCrHg3 after structural relaxation from Alexandria. Energies are from PBEsol.

Cell: 5.1532 5.1532 5.1532 Å, 90.00 90.00 90.00°
Last column: nearest neighbours and their distance in Å.
Positions (direct):
Sr1 0.5000 0.5000 0.5000  12 Hg 3.64
Hg1 0.0000 0.5000 0.0000  2 Cr 2.58
Hg2 0.0000 0.0000 0.5000  2 Cr 2.58
Hg3 0.5000 0.0000 0.0000  2 Cr 2.58
Cr1 0.0000 0.0000 0.0000  6 Hg 2.58

- Space group: Pm-3m
- Total DFT energy (no corrections): -2.68 eV per atom
- Volume: 27.4 A^3/atom

***

Entry 6:
Here is AlAgRh after structural relaxation from Alexandria. Energies are from PBEsol.

Cell: 2.8898 4.2007 4.2007 Å, 120.00 90.00 90.00°
Last column: nearest neighbours and their distance in Å.
Positions (direct):
Rh1 0.4002 0.6667 0.3333  3 Al 2.53, 3 Ag 2.76
Al1 0.6540 0.3333 0.6667  3 Rh 2.53, 3 Ag 2.57
Ag1 0.9458 0.0000 0.0000  3 Al 2.57, 3 Rh 2.76

- Space group: P3m1
- Total DFT energy (no corrections): -5.49 eV per atom
- Volume: 14.7 A^3/atom

***

Entry 7:
Here is ErGeIr after structural relaxation from Alexandria. Energies are from PBEsol.

Cell: 4.2369 6.7292 7.5122 Å, 90.00 90.00 90.00°
Last column: nearest neighbours and their distance in Å.
Positions (direct):
Er1 0.2500 0.5062 0.8084  5 Ge 2.93-2.97, 6 Ir 2.99-3.23
Er2 0.7500 0.9938 0.3084  5 Ge 2.93-2.97, 6 Ir 2.99-3.23
Er3 0.2500 0.0062 0.6916  5 Ge 2.93-2.97, 6 Ir 2.99-3.23
Er4 0.7500 0.4938 0.1916  5 Ge 2.93-2.97, 6 Ir 2.99-3.23
Ge1 0.7500 0.2110 0.8877  4 Ir 2.52-2.58
Ge2 0.7500 0.7110 0.6123  4 Ir 2.52-2.58
Ge3 0.2500 0.7890 0.1123  4 Ir 2.52-2.58
Ge4 0.2500 0.2890 0.3877  4 Ir 2.52-2.58
Ir1 0.7500 0.3392 0.5644  4 Ge 2.52-2.58
Ir2 0.7500 0.8392 0.9356  4 Ge 2.52-2.58
Ir3 0.2500 0.1608 0.0644  4 Ge 2.52-2.58
Ir4 0.2500 0.6608 0.4356  4 Ge 2.52-2.58

- Space group: Pnma
- Total DFT energy (no corrections): -7.55 eV per atom
- Volume: 17.8 A^3/atom

***

Entry 8:
Here is Ca2ReTc after structural relaxation from Alexandria. Energies are from PBEsol.

Cell: 2.7381 2.7381 9.9067 Å, 90.00 90.00 99.32°
Last column: nearest neighbours and their distance in Å.
Positions (direct):
Re1 0.5000 0.5000 0.5000  4 Re 2.74, 4 Ca 3.05
Ca1 0.0000 0.0000 0.2493  4 Ca 2.74, 2 Tc 3.04, 2 Re 3.05
Ca2 0.0000 0.0000 0.7507  4 Ca 2.74, 2 Tc 3.04, 2 Re 3.05
Tc1 0.5000 0.5000 0.0000  4 Tc 2.74, 4 Ca 3.04

- Space group: Cmmm
- Total DFT energy (no corrections): -6.42 eV per atom
- Volume: 18.3 A^3/atom